# 1
Compound: CePu2Sb2
Source: the Alexandria database
Functional: PBE-GGA
Structure: relaxed

Properties
N(E_F) (states/eV/f.u.): 15.5
Polymorph energy (0 for the lowest one) (eV/atom): 0.000

Cell: 4.8320 4.8320 14.0165 Å, 90.00 90.00 120.00°
Each line ends with the local moment (μB).
Fractional positions:
Pu 0.6667 0.3333 0.7500  -5.75
Pu 0.0000 0.0000 0.5000  5.43
Pu 0.3333 0.6667 0.2500  -5.75
Pu 0.0000 0.0000 0.0000  5.43
Sb 0.6667 0.3333 0.3824  0.01
Sb 0.3333 0.6667 0.6176  0.01
Sb 0.6667 0.3333 0.1176  0.01
Sb 0.3333 0.6667 0.8824  0.01
Ce 0.0000 0.0000 0.7500  -1.13
Ce 0.0000 0.0000 0.2500  -1.13

=====

# 2
Compound: Ce2PuSb
Source: the Alexandria database
Functional: PBE-GGA
Structure: relaxed

Properties
N(E_F) (states/eV/f.u.): 9.0
Polymorph energy (0 for the lowest one) (eV/atom): 0.000

Cell: 4.6313 4.7634 4.7634 Å, 90.00 90.00 90.00°
Each line ends with the local moment (μB).
Fractional positions:
Pu 0.5000 0.0000 0.0000  5.49
Ce 0.0000 0.0000 0.5000  0.73
Ce 0.0000 0.5000 0.0000  0.73
Sb 0.5000 0.5000 0.5000  -0.05

=====

# 3
Compound: CePu2Sb2
Source: the Alexandria database
Functional: PBE-GGA
Structure: relaxed

Properties
N(E_F) (states/eV/f.u.): 22.4
Polymorph energy (0 for the lowest one) (eV/atom): 0.020

Cell: 8.0919 8.0917 6.1032 Å, 112.13 112.14 96.97°
Each line ends with the local moment (μB).
Fractional positions:
Sb 0.8503 0.1497 0.2499  -0.08
Sb 0.3780 0.6220 0.2504  -0.10
Sb 0.6220 0.3780 0.7496  -0.10
Sb 0.1497 0.8503 0.7501  -0.08
Pu 0.7726 0.5507 0.4114  5.69
Pu 0.5507 0.7726 0.9124  5.69
Pu 0.4493 0.2274 0.0876  5.69
Pu 0.2274 0.4493 0.5886  5.69
Ce 0.1185 0.8815 0.2501  1.17
Ce 0.8815 0.1185 0.7499  1.17

=====

# 4
Compound: Ce5PuSb6
Source: the Alexandria database
Functional: PBE-GGA
Structure: relaxed

Properties
N(E_F) (states/eV/f.u.): 48.9
Raw total energy (eV/atom): -6.69

Cell: 7.7809 7.7767 7.7769 Å, 60.00 80.40 70.52°
Each line ends with the local moment (μB).
Fractional positions:
Sb 0.7510 0.4153 0.6677  0.00
Sb 0.7510 0.0831 0.3323  0.00
Sb 0.2490 0.5847 0.3323  0.00
Sb 0.7501 0.7510 0.0000  -0.01
Sb 0.2499 0.2490 0.0000  -0.01
Sb 0.2490 0.9169 0.6677  0.00
Ce 0.0000 0.6666 0.6669  0.68
Ce 0.5000 0.8327 0.3345  0.70
Ce 0.0000 0.3334 0.3331  0.68
Ce 0.5000 0.1673 0.6655  0.70
Ce 0.5000 0.5000 0.0000  0.69
Pu 0.0000 0.0000 0.0000  -5.30